Entry from Alexandria via LeMat-Bulk: a crystal of HfGaSe2Br relaxed with PBEsol (SCAN).

Summary:
As for the density: 7.07 g/cm³. The space group is P4/mmm. The uncorrected energy is -27.508 eV per atom. The raw formation energy comes out at 0.219 eV/atom.

Cell and atoms, written as POSCAR:
```
HfGaSe2Br
1.0
4.883 0.000 0.000
0.000 4.883 0.000
0.000 0.000 4.787
Hf Ga Se Br
1 1 2 1
Direct
0.000 0.000 0.000
0.500 0.500 0.500
0.000 0.500 0.500
0.500 0.000 0.500
0.500 0.500 0.000
```